Record 1
Below is MgBe2Au after structural relaxation, with properties calculated at the PBE-GGA level.

```
MgBe2Au
1.0
3.8822 0.0000 0.0000
0.0000 3.8822 0.0000
0.0000 0.0000 3.5301
Mg Be Au
1 2 1
Cartesian
0.0000 0.0000 0.0000
0.0000 1.9411 1.7650
1.9411 0.0000 1.7650
1.9411 1.9411 0.0000
```

* energy relative to the elements: 0.11 eV per formula unit
* total moment: 0.0 μB per formula unit
* E_tot: -12.21 eV/f.u.

Record 2
Below is AcLuTlRh after structural relaxation, with properties calculated at the PBE-GGA level.

```
AcLuTlRh
1.0
0.0000 3.7579 3.7579
3.7579 0.0000 3.7579
3.7579 3.7579 0.0000
Ac Lu Tl Rh
1 1 1 1
Cartesian
0.0000 0.0000 0.0000
3.7579 3.7579 3.7579
1.8790 1.8790 1.8790
5.6369 5.6369 5.6369
```

* energy relative to the elements: -1.33 eV per formula unit
* total moment: 0.0 μB per formula unit
* E_tot: -19.68 eV/f.u.

What did the first record say?
Below is MgBe2Au after structural relaxation, with properties calculated at the PBE-GGA level.

```
MgBe2Au
1.0
3.8822 0.0000 0.0000
0.0000 3.8822 0.0000
0.0000 0.0000 3.5301
Mg Be Au
1 2 1
Cartesian
0.0000 0.0000 0.0000
0.0000 1.9411 1.7650
1.9411 0.0000 1.7650
1.9411 1.9411 0.0000
```

* energy relative to the elements: 0.11 eV per formula unit
* total moment: 0.0 μB per formula unit
* E_tot: -12.21 eV/f.u.